Entry 1:
This record from Alexandria via LeMat-Bulk describes a relaxed Be2InSi crystal. The functional is GGA-PBE.

Geometry as extended XYZ:
```
8
Lattice="3.7370 0.0000 0.0000 0.0000 3.7370 0.0000 0.0000 0.0000 8.3356" Properties=species:S:1:pos:R:3 pbc="T T T"
Be 0.0000 0.0000 0.0000
Be 0.0000 1.8685 2.0839
Be 1.8685 0.0000 6.2517
Be 1.8685 1.8685 4.1678
In 0.0000 1.8685 6.2517
In 1.8685 0.0000 2.0839
Si 0.0000 0.0000 4.1678
Si 1.8685 1.8685 0.0000
```

Output
- formation energy (no corrections) (eV per atom) = 0.64
- space group = I-4m2, No. 119
- electronic total energy (eV per atom) = -3.2676
- relative energy among the computed polymorphs (meV per atom) = 407


Entry 2:
This record from Alexandria via LeMat-Bulk describes a relaxed Be2InSi crystal. The functional is GGA-PBE.

Geometry as extended XYZ:
```
8
Lattice="5.6340 0.0000 0.0000 0.0000 7.4241 0.0000 -0.1077 0.0000 2.7674" Properties=species:S:1:pos:R:3 pbc="T T T"
Be 1.4085 1.8560 0.0000
Be 1.4085 5.5680 0.0000
Be 4.2255 1.8560 0.0000
Be 4.2255 5.5680 0.0000
In -0.0538 0.0000 1.3837
In 2.7632 3.7120 1.3837
Si -0.0538 3.7120 1.3837
Si 2.7632 0.0000 1.3837
```

Output
- formation energy (no corrections) (eV per atom) = 0.65
- space group = C2/m, No. 12
- electronic total energy (eV per atom) = -3.2569
- relative energy among the computed polymorphs (meV per atom) = 418


Entry 3:
This record from Alexandria via LeMat-Bulk describes a relaxed Be2InSi crystal. The functional is GGA-PBE.

Geometry as extended XYZ:
```
8
Lattice="2.6382 0.0000 0.0000 0.0000 4.5542 0.0000 0.0000 0.0000 10.0059" Properties=species:S:1:pos:R:3 pbc="T T T"
Be 0.0000 0.0000 0.0000
Be 0.0000 2.2771 3.0614
Be 1.3191 0.0000 8.0644
Be 1.3191 2.2771 5.0030
In 0.0000 2.2771 7.9094
In 1.3191 0.0000 2.9064
Si 0.0000 0.0000 5.8819
Si 1.3191 2.2771 0.8789
```

Output
- formation energy (no corrections) (eV per atom) = 0.61
- space group = Imm2, No. 44
- electronic total energy (eV per atom) = -3.2943
- relative energy among the computed polymorphs (meV per atom) = 380


Entry 4:
This record from Alexandria via LeMat-Bulk describes a relaxed SmBeIn crystal. The functional is GGA-PBE.

Geometry as extended XYZ:
```
12
Lattice="6.4763 0.0000 0.0000 0.0000 6.4763 0.0000 0.0000 0.0000 6.4763" Properties=species:S:1:pos:R:3 pbc="T T T"
Sm 0.0000 0.0000 0.0000
Sm 0.0000 3.2381 3.2381
Sm 3.2381 0.0000 3.2381
Sm 3.2381 3.2381 0.0000
Be 1.6191 1.6191 1.6191
Be 1.6191 4.8572 4.8572
Be 4.8572 1.6191 4.8572
Be 4.8572 4.8572 1.6191
In 0.0000 0.0000 3.2381
In 0.0000 3.2381 0.0000
In 3.2381 0.0000 0.0000
In 3.2381 3.2381 3.2381
```

Output
- space group = F-43m, No. 216
- electronic total energy (eV per atom) = -3.9308
- relative energy among the computed polymorphs (meV per atom) = 0


Entry 5:
This record from Alexandria via LeMat-Bulk describes a relaxed Sm2BeIn crystal. The functional is GGA-PBE.

Geometry as extended XYZ:
```
4
Lattice="3.5953 0.0000 0.0000 0.0000 3.5953 0.0000 0.0000 0.0000 7.6209" Properties=species:S:1:pos:R:3 pbc="T T T"
Sm 0.0000 0.0000 1.6663
Sm 0.0000 0.0000 5.9546
Be 1.7976 1.7976 0.0000
In 1.7976 1.7976 3.8104
```

Output
- space group = P4/mmm, No. 123
- electronic total energy (eV per atom) = -4.1400


Entry 6:
This record from Alexandria via LeMat-Bulk describes a relaxed SmBeIn crystal. The functional is GGA-PBE.

Geometry as extended XYZ:
```
9
Lattice="6.6677 0.0000 0.0000 -3.3339 5.7744 0.0000 0.0000 0.0000 5.1836" Properties=species:S:1:pos:R:3 pbc="T T T"
Sm 0.0000 0.0000 0.0000
Sm 0.0000 3.8496 2.5918
Sm 3.3339 1.9248 2.5918
Be -0.6208 1.0753 2.5918
Be 1.2417 0.0000 2.5918
Be 2.7130 4.6991 2.5918
In -1.6025 2.7756 0.0000
In 3.2050 0.0000 0.0000
In 1.7314 2.9988 0.0000
```

Output
- space group = P-62m, No. 189
- electronic total energy (eV per atom) = -3.8232
- relative energy among the computed polymorphs (meV per atom) = 108


Entry 7:
This record from Alexandria via LeMat-Bulk describes a relaxed Be2In2Sn crystal. The functional is GGA-PBE.

Geometry as extended XYZ:
```
10
Lattice="6.8793 0.0000 0.0000 0.0000 6.8793 0.0000 0.0000 0.0000 4.0853" Properties=species:S:1:pos:R:3 pbc="T T T"
Be 0.7702 2.6694 0.0000
Be 2.6694 6.1090 0.0000
Be 4.2099 0.7702 0.0000
Be 6.1090 4.2099 0.0000
In 1.1756 4.6153 2.0427
In 2.2640 1.1756 2.0427
In 4.6153 5.7036 2.0427
In 5.7036 2.2640 2.0427
Sn 0.0000 0.0000 0.0000
Sn 3.4396 3.4396 0.0000
```

Output
- space group = P4/mbm, No. 127
- electronic total energy (eV per atom) = -2.9860


Entry 8:
This record from Alexandria via LeMat-Bulk describes a relaxed Be2InSn crystal. The functional is GGA-PBE.

Geometry as extended XYZ:
```
16
Lattice="6.5952 0.0000 0.0000 0.0000 6.5952 0.0000 0.0000 0.0000 6.5952" Properties=species:S:1:pos:R:3 pbc="T T T"
Be 1.6488 1.6488 1.6488
Be 1.6488 1.6488 4.9464
Be 1.6488 4.9464 1.6488
Be 1.6488 4.9464 4.9464
Be 4.9464 1.6488 1.6488
Be 4.9464 1.6488 4.9464
Be 4.9464 4.9464 1.6488
Be 4.9464 4.9464 4.9464
In 0.0000 0.0000 0.0000
In 0.0000 3.2976 3.2976
In 3.2976 0.0000 3.2976
In 3.2976 3.2976 0.0000
Sn 0.0000 0.0000 3.2976
Sn 0.0000 3.2976 0.0000
Sn 3.2976 0.0000 0.0000
Sn 3.2976 3.2976 3.2976
```

Output
- space group = Fm-3m, No. 225
- electronic total energy (eV per atom) = -2.8863
- relative energy among the computed polymorphs (meV per atom) = 0